(1)
Here is a geometry-optimized Zn3CdP structure from Alexandria via LeMat-Bulk. Energies are from GGA-PBE.

Structure (POSCAR):
```
Zn3CdP
1.0
4.964 0.000 0.000
0.000 4.964 0.000
0.000 0.000 4.964
P Zn Cd
1 3 1
Direct
0.500 0.500 0.500
0.000 0.500 0.000
0.000 0.000 0.500
0.500 0.000 0.000
0.000 0.000 0.000
```

total magnetic moment	0.33	μB/cell
ΔE to the lowest computed polymorph	593.1	meV/atom
DFT total energy	-5.7	eV per formula unit
ΔH_f (0 K)	0.883	eV/atom

***

(2)
Here is a geometry-optimized ZnCdP structure from Alexandria via LeMat-Bulk. Energies are from GGA-PBE.

Structure (POSCAR):
```
ZnCdP
1.0
1.995 -3.456 0.000
1.995 3.456 0.000
0.000 0.000 4.301
Zn Cd P
1 1 1
Direct
0.333 0.667 0.570
0.000 0.000 0.011
0.667 0.333 0.419
```

total magnetic moment	0.00	μB/cell
ΔE to the lowest computed polymorph	0.0	meV/atom
DFT total energy	-7.4	eV per formula unit
ΔH_f (0 K)	0.080	eV/atom